1.
An optimized crystal structure of AlPdF. Source: the Alexandria database, functional PBE. Values from VASP.

Results
Size of the total moment: 0.00 μB per formula unit
Calculated volume: 15.78 Å³/atom
Formation energy without anion corrections: -4.93 eV/f.u.

```
&SYSTEM
  ibrav = 0, nat = 6, ntyp = 3
/
ATOMIC_SPECIES
F 19.00 F.upf
Pd 106.42 Pd.upf
Al 26.98 Al.upf
ATOMIC_POSITIONS crystal
F 0.085 0.848 0.498
F 0.585 0.157 0.498
Pd 0.835 0.250 0.993
Pd 0.335 0.755 0.003
Al 0.835 0.885 0.263
Al 0.335 0.120 0.733
CELL_PARAMETERS angstrom
4.326 -0.046 0.002
0.038 3.533 -0.906
-0.006 -0.276 6.267
```

2.
An optimized crystal structure of AlPd3F. Source: the Alexandria database, functional PBE. Values from VASP.

Results
Size of the total moment: 0.00 μB per formula unit
Calculated volume: 19.67 Å³/atom
Distance to the lowest polymorph of the same formula: 9.2 kJ/mol of atoms
Formation energy without anion corrections: 0.78 eV/f.u.

```
&SYSTEM
  ibrav = 0, nat = 5, ntyp = 3
/
ATOMIC_SPECIES
Al 26.98 Al.upf
Pd 106.42 Pd.upf
F 19.00 F.upf
ATOMIC_POSITIONS crystal
Al 0.000 0.000 0.000
Pd 0.000 0.500 0.000
Pd 0.000 0.000 0.500
Pd 0.500 0.000 0.000
F 0.500 0.500 0.500
CELL_PARAMETERS angstrom
4.616 0.000 0.000
0.000 4.616 0.000
0.000 0.000 4.616
```

3.
An optimized crystal structure of AlPdF2. Source: the Alexandria database, functional PBE. Values from VASP.

Results
Size of the total moment: 0.61 μB per formula unit
Calculated volume: 13.81 Å³/atom
Distance to the lowest polymorph of the same formula: 21.6 kJ/mol of atoms
Formation energy without anion corrections: -5.07 eV/f.u.

```
&SYSTEM
  ibrav = 0, nat = 4, ntyp = 3
/
ATOMIC_SPECIES
Pd 106.42 Pd.upf
F 19.00 F.upf
Al 26.98 Al.upf
ATOMIC_POSITIONS crystal
Pd 0.500 0.500 0.500
F 0.076 0.076 0.076
F 0.924 0.924 0.924
Al 0.000 0.000 0.000
CELL_PARAMETERS angstrom
7.916 -0.010 -0.006
7.400 2.813 -0.006
7.400 1.354 2.466
```

4.
An optimized crystal structure of AlPd2F. Source: the Alexandria database, functional PBE. Values from VASP.

Results
Size of the total moment: 0.00 μB per formula unit
Calculated volume: 14.90 Å³/atom
Distance to the lowest polymorph of the same formula: 13.5 kJ/mol of atoms
Formation energy without anion corrections: -2.54 eV/f.u.

```
&SYSTEM
  ibrav = 0, nat = 8, ntyp = 3
/
ATOMIC_SPECIES
Pd 106.42 Pd.upf
Al 26.98 Al.upf
F 19.00 F.upf
ATOMIC_POSITIONS crystal
Pd 0.375 0.379 0.750
Pd 0.875 0.871 0.750
Pd 0.129 0.625 0.250
Pd 0.621 0.125 0.250
Al 0.750 0.250 0.500
Al 0.000 0.000 0.000
F 0.500 0.500 0.000
F 0.250 0.750 0.500
CELL_PARAMETERS angstrom
-1.756 -2.495 -5.879
6.323 -1.536 -1.237
1.915 -4.452 -2.414
```

5.
An optimized crystal structure of AlPdF2. Source: the Alexandria database, functional PBE. Values from VASP.

Results
Size of the total moment: 0.00 μB per formula unit
Calculated volume: 16.17 Å³/atom
Distance to the lowest polymorph of the same formula: 0.0 kJ/mol of atoms
Formation energy without anion corrections: -5.97 eV/f.u.

```
&SYSTEM
  ibrav = 0, nat = 8, ntyp = 3
/
ATOMIC_SPECIES
Pd 106.42 Pd.upf
F 19.00 F.upf
Al 26.98 Al.upf
ATOMIC_POSITIONS crystal
Pd 0.500 0.500 0.500
Pd 0.750 0.750 0.750
F 0.125 0.125 0.625
F 0.625 0.125 0.125
F 0.125 0.125 0.125
F 0.125 0.625 0.125
Al 0.000 0.000 0.000
Al 0.250 0.250 0.250
CELL_PARAMETERS angstrom
0.000 4.014 4.014
4.014 0.000 4.014
4.014 4.014 0.000
```

6.
An optimized crystal structure of AlPdF2. Source: the Alexandria database, functional PBE. Values from VASP.

Results
Size of the total moment: 0.00 μB per formula unit
Calculated volume: 12.65 Å³/atom
Distance to the lowest polymorph of the same formula: 51.4 kJ/mol of atoms
Formation energy without anion corrections: -3.84 eV/f.u.

```
&SYSTEM
  ibrav = 0, nat = 4, ntyp = 3
/
ATOMIC_SPECIES
F 19.00 F.upf
Al 26.98 Al.upf
Pd 106.42 Pd.upf
ATOMIC_POSITIONS crystal
F 0.750 0.750 0.750
F 0.250 0.250 0.250
Al 0.000 0.000 0.000
Pd 0.500 0.500 0.500
CELL_PARAMETERS angstrom
0.000 2.936 2.936
2.936 0.000 2.936
2.936 2.936 0.000
```

7.
An optimized crystal structure of Al2PdF. Source: the Alexandria database, functional PBE. Values from VASP.

Results
Size of the total moment: 0.00 μB per formula unit
Calculated volume: 14.52 Å³/atom
Distance to the lowest polymorph of the same formula: 0.0 kJ/mol of atoms
Formation energy without anion corrections: -3.25 eV/f.u.

```
&SYSTEM
  ibrav = 0, nat = 4, ntyp = 3
/
ATOMIC_SPECIES
Al 26.98 Al.upf
F 19.00 F.upf
Pd 106.42 Pd.upf
ATOMIC_POSITIONS crystal
Al 0.750 0.750 0.750
Al 0.250 0.250 0.250
F 0.000 0.000 0.000
Pd 0.500 0.500 0.500
CELL_PARAMETERS angstrom
1.369 -4.075 0.642
-2.105 -3.318 -1.858
1.859 -2.206 -3.252
```

8.
An optimized crystal structure of AlPd2F. Source: the Alexandria database, functional PBE. Values from VASP.

Results
Size of the total moment: 0.00 μB per formula unit
Calculated volume: 13.63 Å³/atom
Distance to the lowest polymorph of the same formula: 0.0 kJ/mol of atoms
Formation energy without anion corrections: -3.10 eV/f.u.

```
&SYSTEM
  ibrav = 0, nat = 4, ntyp = 3
/
ATOMIC_SPECIES
Pd 106.42 Pd.upf
F 19.00 F.upf
Al 26.98 Al.upf
ATOMIC_POSITIONS crystal
Pd 0.250 0.250 0.250
Pd 0.750 0.750 0.750
F 0.000 0.000 0.000
Al 0.500 0.500 0.500
CELL_PARAMETERS angstrom
-2.465 -3.180 1.387
-3.754 -0.749 -1.860
-0.533 -3.479 -2.393
```

9.
An optimized crystal structure of AlPd3F. Source: the Alexandria database, functional PBE. Values from VASP.

Results
Size of the total moment: 0.00 μB per formula unit
Calculated volume: 16.39 Å³/atom
Distance to the lowest polymorph of the same formula: 0.0 kJ/mol of atoms
Formation energy without anion corrections: 0.31 eV/f.u.

```
&SYSTEM
  ibrav = 0, nat = 5, ntyp = 3
/
ATOMIC_SPECIES
Pd 106.42 Pd.upf
Al 26.98 Al.upf
F 19.00 F.upf
ATOMIC_POSITIONS crystal
Pd 0.000 0.500 0.000
Pd 0.000 0.000 0.500
Pd 0.500 0.000 0.000
Al 0.500 0.500 0.500
F 0.000 0.000 0.000
CELL_PARAMETERS angstrom
4.344 0.000 0.000
0.000 4.344 0.000
0.000 0.000 4.344
```

10.
An optimized crystal structure of Al2PdF. Source: the Alexandria database, functional PBE. Values from VASP.

Results
Size of the total moment: 0.00 μB per formula unit
Calculated volume: 18.47 Å³/atom
Distance to the lowest polymorph of the same formula: 3.0 kJ/mol of atoms
Formation energy without anion corrections: -3.13 eV/f.u.

```
&SYSTEM
  ibrav = 0, nat = 8, ntyp = 3
/
ATOMIC_SPECIES
Pd 106.42 Pd.upf
Al 26.98 Al.upf
F 19.00 F.upf
ATOMIC_POSITIONS crystal
Pd 0.750 0.250 0.500
Pd 0.000 0.000 0.000
Al 0.375 0.404 0.750
Al 0.596 0.125 0.250
Al 0.154 0.625 0.250
Al 0.875 0.846 0.750
F 0.500 0.500 0.000
F 0.250 0.750 0.500
CELL_PARAMETERS angstrom
5.376 0.000 0.000
0.000 5.376 0.000
2.688 2.688 5.114
```

11.
An optimized crystal structure of Al2SiPdF. Source: the Alexandria database, functional PBE. Values from VASP.

Results
Size of the total moment: 0.00 μB per formula unit
Calculated volume: 19.11 Å³/atom
Formation energy without anion corrections: 0.00 eV/f.u.

```
&SYSTEM
  ibrav = 0, nat = 5, ntyp = 4
/
ATOMIC_SPECIES
Si 28.09 Si.upf
F 19.00 F.upf
Al 26.98 Al.upf
Pd 106.42 Pd.upf
ATOMIC_POSITIONS crystal
Si 0.500 0.500 0.500
F 0.000 0.500 0.000
Al 0.500 0.000 0.000
Al 0.000 0.000 0.500
Pd 0.000 0.000 0.000
CELL_PARAMETERS angstrom
4.835 0.000 0.000
0.000 4.086 0.000
0.000 0.000 4.835
```

12.
An optimized crystal structure of AlZnPdF6. Source: the Alexandria database, functional PBE. Values from VASP.

Results
Size of the total moment: 1.00 μB per formula unit
Calculated volume: 13.49 Å³/atom
Formation energy without anion corrections: -21.38 eV/f.u.

```
&SYSTEM
  ibrav = 0, nat = 18, ntyp = 4
/
ATOMIC_SPECIES
F 19.00 F.upf
Zn 65.41 Zn.upf
Al 26.98 Al.upf
Pd 106.42 Pd.upf
ATOMIC_POSITIONS crystal
F 0.357 0.967 0.648
F 0.643 0.033 0.352
F 0.389 0.033 0.148
F 0.357 0.389 0.852
F 0.611 0.643 0.648
F 0.967 0.611 0.352
F 0.967 0.357 0.148
F 0.033 0.643 0.852
F 0.389 0.357 0.352
F 0.611 0.967 0.852
F 0.033 0.389 0.648
F 0.643 0.611 0.148
Zn 0.667 0.333 0.750
Zn 0.333 0.667 0.250
Al 0.667 0.333 0.250
Al 0.333 0.667 0.750
Pd 0.000 0.000 0.500
Pd 0.000 0.000 0.000
CELL_PARAMETERS angstrom
-3.183 2.218 -3.549
-1.968 -3.271 3.616
-1.520 7.837 6.262
```